Record 1
Entry from the Alexandria database: crystalline Li3PuTl3 at its relaxed geometry (PBE).

a = 7.225 Å, b = 7.225 Å, c = 7.225 Å
α = 90.00°, β = 90.00°, γ = 90.00°
Atoms (fractional coordinates):
Tl1 0.250 0.000 0.500
Tl2 0.000 0.500 0.250
Tl3 0.500 0.750 0.000
Tl4 0.750 0.000 0.500
Tl5 0.000 0.500 0.750
Tl6 0.500 0.250 0.000
Li1 0.000 0.250 0.500
Li2 0.000 0.750 0.500
Li3 0.500 0.000 0.750
Li4 0.750 0.500 0.000
Li5 0.500 0.000 0.250
Li6 0.250 0.500 0.000
Pu1 0.500 0.500 0.500
Pu2 0.000 0.000 0.000

SG = Pm-3n, No. 223
DOS(E_F) = 41.6 states/eV per cell
Energy of formation = 279 meV/atom
Calculated volume = 377 Å³/cell

Record 2
Entry from the Alexandria database: crystalline CsDyAgCl6 at its relaxed geometry (PBE).

a = 6.821 Å, b = 6.829 Å, c = 7.787 Å
α = 88.01°, β = 92.12°, γ = 64.25°
Atoms (fractional coordinates):
Cs1 0.018 0.018 0.000
Dy1 0.678 0.679 0.500
Ag1 0.335 0.335 0.500
Cl1 0.998 0.372 0.331
Cl2 0.372 0.998 0.669
Cl3 0.609 0.379 0.695
Cl4 0.976 0.636 0.730
Cl5 0.378 0.609 0.305
Cl6 0.635 0.975 0.269

SG = P1, No. 1
Raw formation energy = -1.590 eV/atom
DOS(E_F) = 1.0 states/eV per cell
Calculated volume = 326 Å³/cell

Record 3
Entry from the Alexandria database: crystalline Pu2Tc12P7 at its relaxed geometry (PBE).

a = 3.099 Å, b = 10.694 Å, c = 10.694 Å
α = 120.00°, β = 90.00°, γ = 90.00°
Atoms (fractional coordinates):
Pu1 0.500 0.000 0.000
Pu2 0.000 0.667 0.333
Tc1 0.500 0.891 0.592
Tc2 0.500 0.701 0.109
Tc3 0.500 0.408 0.299
Tc4 0.500 0.200 0.786
Tc5 0.500 0.586 0.800
Tc6 0.500 0.214 0.414
Tc7 0.000 0.080 0.533
Tc8 0.000 0.454 0.920
Tc9 0.000 0.467 0.546
Tc10 0.000 0.776 0.739
Tc11 0.000 0.963 0.224
Tc12 0.000 0.261 0.037
P1 0.000 0.333 0.667
P2 0.000 0.030 0.786
P3 0.000 0.756 0.970
P4 0.000 0.214 0.244
P5 0.500 0.639 0.547
P6 0.500 0.908 0.361
P7 0.500 0.453 0.092

SG = P-6, No. 174
DOS(E_F) = 30.1 states/eV per cell
Energy of formation = -448 meV/atom
Calculated volume = 307 Å³/cell

Record 4
Entry from the Alexandria database: crystalline K2Rb3BaBr6 at its relaxed geometry (PBE).

a = 4.819 Å, b = 10.014 Å, c = 11.008 Å
α = 103.60°, β = 102.64°, γ = 90.00°
Atoms (fractional coordinates):
K1 0.831 0.660 0.663
K2 0.169 0.340 0.337
Rb1 0.500 0.500 0.000
Rb2 0.831 0.172 0.661
Rb3 0.169 0.828 0.339
Ba1 0.500 0.000 0.000
Br1 0.341 0.914 0.683
Br2 0.669 0.576 0.339
Br3 0.659 0.086 0.317
Br4 0.002 0.239 0.004
Br5 0.998 0.761 0.996
Br6 0.331 0.424 0.661

SG = C2/m, No. 12
Raw formation energy = -1.686 eV/atom
DOS(E_F) = 2.3 states/eV per cell
Calculated volume = 503 Å³/cell

Record 5
Entry from the Alexandria database: crystalline LaTbPr5Tm2 at its relaxed geometry (PBE).

a = 5.747 Å, b = 10.655 Å, c = 10.712 Å
α = 90.00°, β = 90.00°, γ = 105.65°
Atoms (fractional coordinates):
La1 0.585 0.170 0.950
La2 0.415 0.830 0.450
Tb1 0.802 0.605 0.512
Tb2 0.198 0.395 0.012
Pr1 0.385 0.770 0.025
Pr2 0.720 0.440 0.814
Pr3 0.479 0.957 0.741
Pr4 0.295 0.590 0.705
Pr5 0.984 0.968 0.523
Pr6 0.615 0.230 0.525
Pr7 0.280 0.560 0.314
Pr8 0.521 0.043 0.241
Pr9 0.705 0.410 0.205
Pr10 0.016 0.032 0.023
Tm1 0.884 0.768 0.819
Tm2 0.113 0.226 0.735
Tm3 0.116 0.232 0.319
Tm4 0.887 0.774 0.235

SG = Cmc2_1, No. 36
DOS(E_F) = 28.5 states/eV per cell
Energy of formation = 149 meV/atom
Calculated volume = 632 Å³/cell

Record 6
Entry from the Alexandria database: crystalline NaTmTlHg at its relaxed geometry (PBE).

a = 5.223 Å, b = 5.223 Å, c = 5.223 Å
α = 60.00°, β = 60.00°, γ = 60.00°
Atoms (fractional coordinates):
Na1 0.000 0.000 0.000
Tl1 0.750 0.750 0.750
Tm1 0.500 0.500 0.500
Hg1 0.250 0.250 0.250

SG = F-43m, No. 216
Distance to the lowest polymorph of the same formula = 0.007 eV/atom
DOS(E_F) = 2.7 states/eV per cell
Energy of formation = -255 meV/atom
Calculated volume = 101 Å³/cell